Below is crystalline Sr2RuIN at its relaxed geometry, with properties calculated at the PBE level.

abc: 5.203 4.774 5.203
angles: 90.00 90.00 90.00
Element x y z (fractional)
I 0.000 0.500 0.000
Ru 0.500 0.500 0.500
N 0.000 0.000 0.000
Sr 0.000 0.000 0.500
Sr 0.500 0.000 0.000

Output
Size of the total moment, μB/atom: 0.41
Calculated total energy, eV per cell: -20.55
Volume, Å³ per atom: 25.8
Relative energy among the computed polymorphs, eV per atom: 1.055
Mass density, kg/m³: 5361

=====

Below is crystalline AlCuMo4 at its relaxed geometry, with properties calculated at the PBE level.

abc: 5.204 5.204 5.204
angles: 60.00 60.00 60.00
Element x y z (fractional)
Al 0.250 0.250 0.250
Cu 0.000 0.000 0.000
Mo 0.626 0.626 0.123
Mo 0.626 0.123 0.626
Mo 0.626 0.626 0.626
Mo 0.123 0.626 0.626

Output
Size of the total moment, μB/atom: 0.00
Energy relative to the elements, eV per atom: 0.4880
Calculated total energy, eV per cell: -48.24
Volume, Å³ per atom: 16.6
Mass density, kg/m³: 7904

=====

Below is crystalline RbNa3Hg3 at its relaxed geometry, with properties calculated at the PBE level.

abc: 8.456 8.456 8.456
angles: 90.00 90.00 90.00
Element x y z (fractional)
Na 0.000 0.250 0.500
Na 0.000 0.750 0.500
Na 0.500 0.000 0.750
Na 0.750 0.500 0.000
Na 0.500 0.000 0.250
Na 0.250 0.500 0.000
Hg 0.250 0.000 0.500
Hg 0.000 0.500 0.250
Hg 0.500 0.750 0.000
Hg 0.750 0.000 0.500
Hg 0.000 0.500 0.750
Hg 0.500 0.250 0.000
Rb 0.500 0.500 0.500
Rb 0.000 0.000 0.000

Output
Size of the total moment, μB/atom: 0.00
Energy relative to the elements, eV per atom: -0.0359
Calculated total energy, eV per cell: -12.16
Volume, Å³ per atom: 43.2
Relative energy among the computed polymorphs, eV per atom: 0.145
Mass density, kg/m³: 4153

=====

Below is crystalline Ba2ZnCdIr at its relaxed geometry, with properties calculated at the PBE level.

abc: 6.070 6.070 4.903
angles: 90.00 90.00 90.00
Element x y z (fractional)
Zn 0.000 0.000 0.500
Ir 0.000 0.000 0.000
Ba 0.000 0.500 0.000
Ba 0.500 0.000 0.000
Cd 0.500 0.500 0.500

Output
Size of the total moment, μB/atom: 0.00
Energy relative to the elements, eV per atom: -0.1359
Calculated total energy, eV per cell: -15.57
Volume, Å³ per atom: 36.1
Mass density, kg/m³: 5926

=====

Below is crystalline Rb2ZnOsN at its relaxed geometry, with properties calculated at the PBE level.

abc: 6.246 3.759 6.246
angles: 90.00 90.00 90.00
Element x y z (fractional)
Zn 0.500 0.500 0.500
Os 0.000 0.500 0.000
Rb 0.000 0.000 0.500
Rb 0.500 0.000 0.000
N 0.000 0.000 0.000

Output
Size of the total moment, μB/atom: 0.02
Calculated total energy, eV per cell: -20.79
Volume, Å³ per atom: 29.3
Mass density, kg/m³: 4988

=====

Below is crystalline BaLiBiPd at its relaxed geometry, with properties calculated at the PBE level.

abc: 5.223 5.223 5.223
angles: 60.00 60.00 60.00
Element x y z (fractional)
Li 0.000 0.000 0.000
Bi 0.250 0.250 0.250
Pd 0.500 0.500 0.500
Ba 0.750 0.750 0.750

Output
Size of the total moment, μB/atom: 0.00
Energy relative to the elements, eV per atom: -0.5262
Calculated total energy, eV per cell: -15.02
Volume, Å³ per atom: 25.2
Mass density, kg/m³: 7575

=====

Below is crystalline LiZrZn5 at its relaxed geometry, with properties calculated at the PBE level.

abc: 4.660 4.660 6.008
angles: 90.00 90.00 108.86
Element x y z (fractional)
Li 0.500 0.500 0.500
Zr 0.000 0.000 0.000
Zn 0.500 0.000 0.258
Zn 0.000 0.500 0.258
Zn 0.000 0.000 0.500
Zn 0.000 0.500 0.742
Zn 0.500 0.000 0.742

Output
Size of the total moment, μB/atom: 0.00
Energy relative to the elements, eV per atom: -0.0107
Calculated total energy, eV per cell: -16.91
Volume, Å³ per atom: 17.6
Mass density, kg/m³: 5719

=====

Below is crystalline B2Ir2Pb at its relaxed geometry, with properties calculated at the PBE level.

abc: 3.079 3.079 7.921
angles: 78.79 78.79 90.00
Element x y z (fractional)
Pb 0.000 0.000 0.000
B 0.750 0.250 0.500
B 0.250 0.750 0.500
Ir 0.347 0.347 0.306
Ir 0.653 0.653 0.694

Output
Size of the total moment, μB/atom: 0.00
Energy relative to the elements, eV per atom: 0.0408
Calculated total energy, eV per cell: -34.58
Volume, Å³ per atom: 14.4
Mass density, kg/m³: 14109

=====

Below is crystalline Ho5TlCo at its relaxed geometry, with properties calculated at the PBE level.

abc: 6.448 6.448 11.195
angles: 72.27 72.27 63.24
Element x y z (fractional)
Ho 0.967 0.601 0.136
Ho 0.199 0.558 0.544
Ho 0.601 0.967 0.636
Ho 0.986 0.014 0.250
Ho 0.442 0.801 0.956
Ho 0.558 0.199 0.044
Ho 0.014 0.986 0.750
Ho 0.399 0.033 0.364
Ho 0.801 0.442 0.456
Ho 0.033 0.399 0.864
Tl 0.473 0.527 0.250
Tl 0.527 0.473 0.750
Co 0.000 0.000 0.000
Co 0.000 0.000 0.500

Output
Size of the total moment, μB/atom: 0.00
Energy relative to the elements, eV per atom: -0.0653
Calculated total energy, eV per cell: -65.64
Volume, Å³ per atom: 27.7
Mass density, kg/m³: 9309

=====

Below is crystalline LaRePb2 at its relaxed geometry, with properties calculated at the PBE level.

abc: 3.331 3.331 10.088
angles: 90.00 90.00 115.17
Element x y z (fractional)
La 0.500 0.500 0.750
Pb 0.000 0.000 0.036
Pb 0.000 0.000 0.464
Re 0.500 0.500 0.250

Output
Size of the total moment, μB/atom: 0.00
Energy relative to the elements, eV per atom: 0.5593
Calculated total energy, eV per cell: -22.56
Volume, Å³ per atom: 25.3
Relative energy among the computed polymorphs, eV per atom: 0.255
Mass density, kg/m³: 12125

=====

Below is crystalline LiTlZn2As at its relaxed geometry, with properties calculated at the PBE level.

abc: 5.215 5.593 5.215
angles: 90.00 90.00 90.00
Element x y z (fractional)
Zn 0.000 0.000 0.500
Zn 0.500 0.000 0.000
Tl 0.000 0.000 0.000
As 0.000 0.500 0.000
Li 0.500 0.500 0.500

Output
Size of the total moment, μB/atom: 0.00
Energy relative to the elements, eV per atom: 0.5631
Calculated total energy, eV per cell: -8.66
Volume, Å³ per atom: 30.4
Mass density, kg/m³: 4552

=====

Below is crystalline Rb2CaBeBr at its relaxed geometry, with properties calculated at the PBE level.

abc: 6.392 6.432 6.392
angles: 90.00 90.00 90.00
Element x y z (fractional)
Be 0.000 0.500 0.000
Ca 0.500 0.500 0.500
Br 0.000 0.000 0.000
Rb 0.000 0.000 0.500
Rb 0.500 0.000 0.000

Output
Size of the total moment, μB/atom: 0.00
Calculated total energy, eV per cell: -8.11
Volume, Å³ per atom: 52.6
Mass density, kg/m³: 1895